Compound: NaCo4BiO12
Source: the Alexandria database
Functional: PBE with a Hubbard U
Structure: optimized geometry

V = 11.1 A^3/atom
symmetry = Amm2 (38)
VASP energy = -5.2134 eV/atom

Cell lengths 5.269, 5.269, 7.213 Å; angles 90.00, 90.00, 95.70 degrees
Last column: magnetic moment on the atom in μB.
Fractional coordinates of all 18 atoms:
Na 0.991 0.009 0.500  0.00
Co 0.011 0.499 0.744  2.04
Co 0.011 0.499 0.256  2.04
Co 0.501 0.989 0.256  2.04
Co 0.501 0.989 0.744  2.04
Bi 0.509 0.491 0.000  -0.01
O 0.287 0.292 0.771  0.12
O 0.708 0.713 0.771  0.12
O 0.708 0.713 0.229  0.12
O 0.287 0.292 0.229  0.12
O 0.760 0.240 0.827  -0.02
O 0.220 0.780 0.682  0.40
O 0.220 0.780 0.318  0.40
O 0.760 0.240 0.173  -0.02
O 0.084 0.574 0.000  0.19
O 0.944 0.426 0.500  0.42
O 0.426 0.916 0.000  0.19
O 0.574 0.056 0.500  0.42